Material: Tc2PtCl
Method: DFT, PBE
State: optimized geometry

Properties
Polymorph energy (0 for the lowest one): 0.3594 eV/atom
Total magnetization: 0.00 μB per formula unit
Density of states at the Fermi level: 0.880 states/eV per atom

```
data_Tc2PtCl
_cell_length_a 4.1609
_cell_length_b 4.1609
_cell_length_c 5.6278
_cell_angle_alpha 80.94
_cell_angle_beta 80.94
_cell_angle_gamma 39.36
_symmetry_space_group_name_H-M 'P 1'
_symmetry_Int_Tables_number 1
loop_
_symmetry_equiv_pos_as_xyz
'x,y,z'
loop_
_atom_site_label
_atom_site_type_symbol
_atom_site_fract_x
_atom_site_fract_y
_atom_site_fract_z
Cl1 Cl 0.7500 0.7500 0.7500
Pt1 Pt 0.2500 0.2500 0.2500
Tc1 Tc 0.0001 0.0001 0.9645
Tc2 Tc 0.4999 0.4999 0.5355
```